(1)
# SrCuSb2I (GGA-PBE, relaxed)
# Distance to the lowest polymorph of the same formula, meV/atom: 1000
# M_tot, μB/atom: 0.36
# ΔE_f (raw), eV per formula unit: 3.896
data_SrCuSb2I
_symmetry_space_group_name_H-M 'P 1'
_symmetry_Int_Tables_number 1
_cell_length_a 6.308
_cell_length_b 6.308
_cell_length_c 6.157
_cell_angle_alpha 90.00
_cell_angle_beta 90.00
_cell_angle_gamma 90.00
loop_
_symmetry_equiv_pos_as_xyz
'x,y,z'
loop_
_atom_site_label
_atom_site_type_symbol
_atom_site_fract_x
_atom_site_fract_y
_atom_site_fract_z
Cu1 Cu 0.500 0.500 0.500
Sb1 Sb 0.500 0.000 0.000
I1 I 0.000 0.000 0.500
Sb2 Sb 0.000 0.500 0.000
Sr1 Sr 0.000 0.000 0.000

=====

(2)
# La2Pm5Nd4 (GGA-PBE, relaxed)
# Distance to the lowest polymorph of the same formula, meV/atom: 107
# M_tot, μB/atom: 0.00
# Calculated formation energy, eV/atom: 0.1982
data_La2Pm5Nd4
_symmetry_space_group_name_H-M 'P 1'
_symmetry_Int_Tables_number 1
_cell_length_a 3.578
_cell_length_b 9.426
_cell_length_c 12.897
_cell_angle_alpha 111.43
_cell_angle_beta 97.97
_cell_angle_gamma 90.00
loop_
_symmetry_equiv_pos_as_xyz
'x,y,z'
loop_
_atom_site_label
_atom_site_type_symbol
_atom_site_fract_x
_atom_site_fract_y
_atom_site_fract_z
Pm1 Pm 0.143 0.336 0.286
Nd1 Nd 0.403 0.403 0.805
La1 La 0.268 0.268 0.537
Pm2 Pm 0.857 0.664 0.714
Pm3 Pm 0.500 0.000 0.000
Pm4 Pm 0.143 0.950 0.286
Nd2 Nd 0.597 0.597 0.195
Nd3 Nd 0.000 0.302 0.000
Pm5 Pm 0.857 0.050 0.714
Nd4 Nd 0.000 0.698 0.000
La2 La 0.732 0.732 0.463

=====

(3)
# AcYAu (GGA-PBE, relaxed)
# Distance to the lowest polymorph of the same formula, meV/atom: 183
# M_tot, μB/atom: 0.00
# Calculated formation energy, eV/atom: -0.3509
data_AcYAu
_symmetry_space_group_name_H-M 'P 1'
_symmetry_Int_Tables_number 1
_cell_length_a 5.236
_cell_length_b 5.236
_cell_length_c 5.236
_cell_angle_alpha 60.00
_cell_angle_beta 60.00
_cell_angle_gamma 60.00
loop_
_symmetry_equiv_pos_as_xyz
'x,y,z'
loop_
_atom_site_label
_atom_site_type_symbol
_atom_site_fract_x
_atom_site_fract_y
_atom_site_fract_z
Y1 Y 0.500 0.500 0.500
Ac1 Ac 0.000 0.000 0.000
Au1 Au 0.250 0.250 0.250

=====

(4)
# ScNb2Al2 (GGA-PBE, relaxed)
# Distance to the lowest polymorph of the same formula, meV/atom: 0
# M_tot, μB/atom: 0.00
# Calculated formation energy, eV/atom: -0.2719
data_ScNb2Al2
_symmetry_space_group_name_H-M 'P 1'
_symmetry_Int_Tables_number 1
_cell_length_a 7.358
_cell_length_b 7.358
_cell_length_c 3.364
_cell_angle_alpha 90.00
_cell_angle_beta 90.00
_cell_angle_gamma 90.00
loop_
_symmetry_equiv_pos_as_xyz
'x,y,z'
loop_
_atom_site_label
_atom_site_type_symbol
_atom_site_fract_x
_atom_site_fract_y
_atom_site_fract_z
Al1 Al 0.877 0.623 0.000
Nb1 Nb 0.173 0.673 0.500
Nb2 Nb 0.673 0.827 0.500
Al2 Al 0.623 0.123 0.000
Nb3 Nb 0.827 0.327 0.500
Sc1 Sc 0.000 0.000 0.000
Nb4 Nb 0.327 0.173 0.500
Al3 Al 0.377 0.877 0.000
Al4 Al 0.123 0.377 0.000
Sc2 Sc 0.500 0.500 0.000